(1)
The following is a GGA-PBE calculation of a relaxed ZnCrFe4 crystal, from Alexandria.

Structure (CIF):
```
data_ZnCrFe4
_chemical_formula_sum 'Zn4 Cr4 Fe16'
_cell_length_a 6.652
_cell_length_b 6.652
_cell_length_c 6.652
_cell_angle_alpha 90.00
_cell_angle_beta 90.00
_cell_angle_gamma 90.00
_space_group_name_H-M_alt 'F -4 3 m'
_space_group_IT_number 216
_space_group_name_Hall 'F -4 2 3'
loop_
_atom_site_label
_atom_site_type_symbol
_atom_site_fract_x
_atom_site_fract_y
_atom_site_fract_z
Zn1 Zn 0.000 0.000 0.000
Cr1 Cr 0.250 0.250 0.250
Fe1 Fe 0.125 0.125 0.625
```

**Fermi-level density of states**: 30.55 states/eV/cell
**E_tot**: -7.34 eV/atom
**ΔE_f**: 0.120 eV/atom

=====

(2)
The following is a GGA-PBE calculation of a relaxed Zn2CrFe crystal, from Alexandria.

Structure (CIF):
```
data_Zn2CrFe
_chemical_formula_sum 'Zn2 Cr1 Fe1'
_cell_length_a 3.048
_cell_length_b 3.048
_cell_length_c 5.799
_cell_angle_alpha 90.00
_cell_angle_beta 90.00
_cell_angle_gamma 90.00
_space_group_name_H-M_alt 'P 4/m m m'
_space_group_IT_number 123
_space_group_name_Hall '-P 4 2'
loop_
_atom_site_label
_atom_site_type_symbol
_atom_site_fract_x
_atom_site_fract_y
_atom_site_fract_z
Zn1 Zn 0.000 0.000 0.243
Cr1 Cr 0.500 0.500 0.500
Fe1 Fe 0.500 0.500 0.000
```

**Fermi-level density of states**: 3.31 states/eV/cell
**Excess energy over the best structure of this formula in the dataset**: 54.6 kJ/mol of formula units
**E_tot**: -4.95 eV/atom
**ΔE_f**: 0.206 eV/atom

=====

(3)
The following is a GGA-PBE calculation of a relaxed Zn2CrFe crystal, from Alexandria.

Structure (CIF):
```
data_Zn2CrFe
_chemical_formula_sum 'Zn4 Cr2 Fe2'
_cell_length_a 3.495
_cell_length_b 3.633
_cell_length_c 7.985
_cell_angle_alpha 90.00
_cell_angle_beta 90.00
_cell_angle_gamma 90.00
_space_group_name_H-M_alt 'C m m m'
_space_group_IT_number 65
_space_group_name_Hall '-C 2 2'
loop_
_atom_site_label
_atom_site_type_symbol
_atom_site_fract_x
_atom_site_fract_y
_atom_site_fract_z
Zn1 Zn 0.000 0.000 0.246
Cr1 Cr 0.000 0.500 0.500
Fe1 Fe 0.000 0.500 0.000
```

**Fermi-level density of states**: 4.21 states/eV/cell
**Excess energy over the best structure of this formula in the dataset**: 23.1 kJ/mol of formula units
**E_tot**: -5.03 eV/atom
**ΔE_f**: 0.124 eV/atom

=====

(4)
The following is a GGA-PBE calculation of a relaxed ZnCrFe2 crystal, from Alexandria.

Structure (CIF):
```
data_ZnCrFe2
_chemical_formula_sum 'Zn2 Cr2 Fe4'
_cell_length_a 3.631
_cell_length_b 3.631
_cell_length_c 7.309
_cell_angle_alpha 90.00
_cell_angle_beta 90.00
_cell_angle_gamma 90.00
_space_group_name_H-M_alt 'I 4/m m m'
_space_group_IT_number 139
_space_group_name_Hall '-I 4 2'
loop_
_atom_site_label
_atom_site_type_symbol
_atom_site_fract_x
_atom_site_fract_y
_atom_site_fract_z
Zn1 Zn 0.000 0.000 0.000
Cr1 Cr 0.000 0.000 0.500
Fe1 Fe 0.000 0.500 0.250
```

**Fermi-level density of states**: 8.40 states/eV/cell
**E_tot**: -6.83 eV/atom
**ΔE_f**: 0.122 eV/atom

=====

(5)
The following is a GGA-PBE calculation of a relaxed ZnCrFe6 crystal, from Alexandria.

Structure (CIF):
```
data_ZnCrFe6
_chemical_formula_sum 'Zn8 Cr8 Fe48'
_cell_length_a 6.375
_cell_length_b 10.882
_cell_length_c 10.896
_cell_angle_alpha 90.00
_cell_angle_beta 90.00
_cell_angle_gamma 90.00
_space_group_name_H-M_alt 'C m m m'
_space_group_IT_number 65
_space_group_name_Hall '-C 2 2'
loop_
_atom_site_label
_atom_site_type_symbol
_atom_site_fract_x
_atom_site_fract_y
_atom_site_fract_z
Zn1 Zn 0.000 0.000 0.248
Zn2 Zn 0.000 0.246 0.500
Cr1 Cr 0.000 0.249 0.000
Cr2 Cr 0.000 0.500 0.249
Fe1 Fe 0.000 0.000 0.000
Fe2 Fe 0.000 0.000 0.500
Fe3 Fe 0.000 0.246 0.250
Fe4 Fe 0.000 0.500 0.000
Fe5 Fe 0.000 0.500 0.500
Fe6 Fe 0.242 0.376 0.372
Fe7 Fe 0.243 0.374 0.123
```

**Fermi-level density of states**: 53.81 states/eV/cell
**Excess energy over the best structure of this formula in the dataset**: 3.8 kJ/mol of formula units
**E_tot**: -7.66 eV/atom
**ΔE_f**: 0.053 eV/atom

=====

(6)
The following is a GGA-PBE calculation of a relaxed ZnCr3Fe crystal, from Alexandria.

Structure (CIF):
```
data_ZnCr3Fe
_chemical_formula_sum 'Zn1 Cr3 Fe1'
_cell_length_a 4.239
_cell_length_b 4.239
_cell_length_c 4.239
_cell_angle_alpha 90.00
_cell_angle_beta 90.00
_cell_angle_gamma 90.00
_space_group_name_H-M_alt 'P m -3 m'
_space_group_IT_number 221
_space_group_name_Hall '-P 4 2 3'
loop_
_atom_site_label
_atom_site_type_symbol
_atom_site_fract_x
_atom_site_fract_y
_atom_site_fract_z
Zn1 Zn 0.000 0.000 0.000
Cr1 Cr 0.000 0.500 0.500
Fe1 Fe 0.500 0.500 0.500
```

**Fermi-level density of states**: 5.52 states/eV/cell
**Excess energy over the best structure of this formula in the dataset**: 0.0 kJ/mol of formula units
**E_tot**: -6.63 eV/atom
**ΔE_f**: 1.089 eV/atom